Entry 1:
This record from Alexandria via LeMat-Bulk describes crystalline Si2BO at its relaxed geometry. The functional is GGA-PBEsol.

The space-group type is I-42d. The formation energy (no corrections) is -1.78 eV/f.u.

abc: 4.4310 4.4310 5.6901
angles: 112.91 112.91 90.00
Fractional positions:
Si  0.8680  0.3750  0.2500
Si  0.3820  0.8750  0.2500
Si  0.6250  0.6180  0.7500
Si  0.1250  0.1320  0.7500
B  0.7500  0.2500  0.5000
B  0.5000  0.5000  0.0000
O  0.2500  0.7500  0.5000
O  0.0000  0.0000  0.0000

---

Entry 2:
This record from Alexandria via LeMat-Bulk describes crystalline CuReSiF2 at its relaxed geometry. The functional is GGA-PBEsol.

The space-group type is P4/mmm. The formation energy (no corrections) is 0.34 eV/f.u.

abc: 3.8478 3.8478 5.1501
angles: 90.00 90.00 90.00
Fractional positions:
Re  0.0000  0.0000  0.0000
Si  0.5000  0.5000  0.5000
Cu  0.0000  0.0000  0.5000
F  0.0000  0.5000  0.0000
F  0.5000  0.0000  0.0000

---

Entry 3:
This record from Alexandria via LeMat-Bulk describes crystalline AlAs2Os at its relaxed geometry. The functional is GGA-PBEsol.

The space-group type is Cmmm. The energy relative to the elements is 0.30 eV per atom.

abc: 3.1580 4.5040 4.5040
angles: 105.46 90.00 90.00
Fractional positions:
As  0.0000  0.5000  0.0000
As  0.0000  0.0000  0.5000
Os  0.5000  0.0000  0.0000
Al  0.5000  0.5000  0.5000

---

Entry 4:
This record from Alexandria via LeMat-Bulk describes crystalline DyBiPd at its relaxed geometry. The functional is GGA-PBEsol.

The space-group type is F-43m. The energy relative to the elements is -0.97 eV per atom.

abc: 4.6761 4.6761 4.6761
angles: 60.00 60.00 60.00
Fractional positions:
Bi  0.0000  0.0000  0.0000
Pd  0.2500  0.2500  0.2500
Dy  0.5000  0.5000  0.5000

---

no.,N(E_F) (states/eV/atom),E (eV per atom)
1,0.377,-6.385
2,1.014,-5.386
3,0.493,-6.328
4,0.023,-6.043